1.
CaAgO2 | PBE-GGA | relaxed

DFT total energy in eV/atom: -5.211
Formation energy (no corrections) in eV/atom: -1.52

abc: 3.383 3.383 4.704
angles: 90.00 90.00 90.00
Element x y z (fractional)
Ca  0.000  0.000  0.000
O  0.000  0.000  0.500
O  0.500  0.500  0.000
Ag  0.500  0.500  0.500

=====

2.
ReNi2Hg | PBE-GGA | relaxed

DFT total energy in eV/atom: -5.397
ΔE_f in eV/atom: 0.68

abc: 2.806 4.754 4.411
angles: 90.00 90.00 90.00
Site moments in Bohr magnetons follow the coordinates.
Element x y z (fractional)
Hg  0.000  0.500  0.500  0.00
Ni  0.500  0.500  0.000  0.30
Ni  0.000  0.000  0.000  0.30
Re  0.500  0.000  0.500  0.28

=====

3.
LiCuRh2 | PBE-GGA | relaxed

DFT total energy in eV/atom: -5.155
ΔE_f in eV/atom: 0.02

abc: 2.643 2.643 8.815
angles: 90.00 90.00 117.48
Site moments in Bohr magnetons follow the coordinates.
Element x y z (fractional)
Cu  0.500  0.500  0.250  0.05
Rh  0.000  0.000  0.001  0.45
Rh  0.000  0.000  0.499  0.45
Li  0.500  0.500  0.750  -0.01

=====

4.
La2SmDy | PBE-GGA | relaxed

DFT total energy in eV/atom: -4.772
ΔE_f in eV/atom: 0.02
Relative energy among the computed polymorphs in eV per atom: 0.011

abc: 3.700 3.700 10.165
angles: 90.00 90.00 90.00
Element x y z (fractional)
Dy  0.500  0.500  0.000
La  0.000  0.000  0.753
La  0.000  0.000  0.247
Sm  0.500  0.500  0.500